# KIrCl, relaxed, DFT PBE-GGA
data_KIrCl
_chemical_formula_sum 'K2 Ir2 Cl2'
_cell_length_a 3.463
_cell_length_b 3.465
_cell_length_c 11.957
_cell_angle_alpha 98.32
_cell_angle_beta 98.28
_cell_angle_gamma 90.00
_symmetry_space_group_name_H-M 'P 1'
_symmetry_Int_Tables_number 1
_symmetry_space_group_name_Hall 'P 1'
loop_
_atom_site_label
_atom_site_type_symbol
_atom_site_fract_x
_atom_site_fract_y
_atom_site_fract_z
K1 K 0.923 0.004 0.701
K2 K 0.091 0.172 0.039
Ir1 Ir 0.239 0.321 0.338
Ir2 Ir 0.707 0.789 0.273
Cl1 Cl 0.345 0.425 0.543
Cl2 Cl 0.508 0.590 0.873
# * space group: Cm
# * N(E_F): 1.2 states/eV/f.u.
# * energy above the lowest structure with this stoichiometry: 14.1 meV/atom
# * magnetization: 0.00 μB/f.u.
# * uncorrected formation energy: -0.572 eV/atom
# * calculated total energy: -13.52 eV/f.u.